A relaxed structure of CaMgIn4. Source: the Alexandria database, functional GGA-PBE.

a = 4.8630 Å, b = 7.2463 Å, c = 9.0240 Å
α = 90.00°, β = 90.00°, γ = 90.00°
Atoms (fractional coordinates):
Ca 0.0000 0.0000 0.0000
Ca 0.5000 0.5000 0.5000
Mg 0.0000 0.5000 0.0000
Mg 0.5000 0.0000 0.5000
In 0.0000 0.2148 0.3373
In 0.0000 0.2148 0.6627
In 0.0000 0.7852 0.3373
In 0.0000 0.7852 0.6627
In 0.5000 0.2852 0.1627
In 0.5000 0.2852 0.8373
In 0.5000 0.7148 0.1627
In 0.5000 0.7148 0.8373

Computed properties:
Its total magnetization is 0.000 Bohr magnetons per cell. The formation energy comes out at -0.20 eV per atom. The calculation puts the energy above the most stable polymorph in this dataset at 0.0 meV/atom.

A relaxed structure of Ba4CeTa3O12. Source: the Alexandria database, functional GGA-PBE.

a = 7.3276 Å, b = 7.3276 Å, c = 7.3276 Å
α = 109.47°, β = 109.47°, γ = 109.47°
Atoms (fractional coordinates):
Ba 0.0000 0.0000 0.5000
Ba 0.0000 0.5000 0.0000
Ba 0.5000 0.0000 0.0000
Ba 0.5000 0.5000 0.5000
Ce 0.0000 0.0000 0.0000
Ta 0.0000 0.5000 0.5000
Ta 0.5000 0.0000 0.5000
Ta 0.5000 0.5000 0.0000
O 0.0000 0.2660 0.2660
O 0.0000 0.7340 0.7340
O 0.2500 0.5000 0.7500
O 0.2500 0.7500 0.5000
O 0.2660 0.0000 0.2660
O 0.2660 0.2660 0.0000
O 0.5000 0.2500 0.7500
O 0.5000 0.7500 0.2500
O 0.7340 0.0000 0.7340
O 0.7340 0.7340 0.0000
O 0.7500 0.2500 0.5000
O 0.7500 0.5000 0.2500

Computed properties:
Its total magnetization is 0.897 Bohr magnetons per cell. The calculation puts the formation energy from raw total energies at -2.9117 eV/atom.

A relaxed structure of SrTl2Hg4. Source: the Alexandria database, functional GGA-PBE.

a = 9.9061 Å, b = 9.9061 Å, c = 6.0172 Å
α = 90.04°, β = 90.04°, γ = 44.13°
Atoms (fractional coordinates):
Sr 0.2483 0.7517 0.7500
Sr 0.7517 0.2483 0.2500
Tl 0.1400 0.4324 0.7500
Tl 0.4324 0.1400 0.2500
Tl 0.5676 0.8600 0.7500
Tl 0.8600 0.5676 0.2500
Hg 0.1327 0.1328 0.0002
Hg 0.1328 0.1327 0.5002
Hg 0.2674 0.5594 0.2498
Hg 0.4406 0.7326 0.2502
Hg 0.5594 0.2674 0.7498
Hg 0.7326 0.4406 0.7502
Hg 0.8673 0.8672 0.9998
Hg 0.8672 0.8673 0.4998

Computed properties:
Its total magnetization is 0.000 Bohr magnetons per cell. The formation energy comes out at -0.22 eV per atom.

A relaxed structure of PrDy5Tm. Source: the Alexandria database, functional GGA-PBE.

a = 6.5151 Å, b = 6.5151 Å, c = 11.4668 Å
α = 103.25°, β = 103.25°, γ = 95.90°
Atoms (fractional coordinates):
Pr 0.0000 0.5000 0.0000
Pr 0.5000 0.0000 0.5000
Dy 0.0678 0.2736 0.5350
Dy 0.0843 0.9157 0.2500
Dy 0.2736 0.0678 0.0350
Dy 0.3029 0.4468 0.3327
Dy 0.4468 0.3029 0.8327
Dy 0.5532 0.6971 0.1673
Dy 0.6971 0.5532 0.6673
Dy 0.7264 0.9322 0.9650
Dy 0.9157 0.0843 0.7500
Dy 0.9322 0.7264 0.4650
Tm 0.2591 0.7409 0.7500
Tm 0.7409 0.2591 0.2500

Computed properties:
Its total magnetization is 0.000 Bohr magnetons per cell. The formation energy comes out at 0.10 eV per atom. The calculation puts the energy above the most stable polymorph in this dataset at 0.0 meV/atom.

A relaxed structure of Nd2USi3Pt12. Source: the Alexandria database, functional GGA-PBE.

a = 7.9244 Å, b = 7.9244 Å, c = 7.9244 Å
α = 62.15°, β = 62.15°, γ = 62.15°
Atoms (fractional coordinates):
Nd 0.1001 0.1001 0.1001
Nd 0.8999 0.8999 0.8999
U 0.5000 0.5000 0.5000
Si 0.0000 0.5000 0.5000
Si 0.5000 0.0000 0.5000
Si 0.5000 0.5000 0.0000
Pt 0.1055 0.6367 0.6367
Pt 0.1498 0.1498 0.5987
Pt 0.1498 0.5987 0.1498
Pt 0.3633 0.3633 0.8945
Pt 0.3633 0.8945 0.3633
Pt 0.4013 0.8502 0.8502
Pt 0.5987 0.1498 0.1498
Pt 0.6367 0.1055 0.6367
Pt 0.6367 0.6367 0.1055
Pt 0.8502 0.4013 0.8502
Pt 0.8502 0.8502 0.4013
Pt 0.8945 0.3633 0.3633

Computed properties:
Its total magnetization is 0.342 Bohr magnetons per cell. The calculation puts the formation energy from raw total energies at -0.5272 eV/atom.

A relaxed structure of NbSiPS2. Source: the Alexandria database, functional GGA-PBE.

a = 4.4360 Å, b = 4.4360 Å, c = 4.4983 Å
α = 90.00°, β = 90.00°, γ = 90.00°
Atoms (fractional coordinates):
Nb 0.0000 0.0000 0.0000
Si 0.5000 0.5000 0.5000
P 0.5000 0.5000 0.0000
S 0.0000 0.5000 0.5000
S 0.5000 0.0000 0.5000

Computed properties:
Its total magnetization is 1.641 Bohr magnetons per cell. The calculation puts the formation energy from raw total energies at 0.4493 eV/atom. The calculation puts the energy above the most stable polymorph in this dataset at 127.1 meV/atom.

A relaxed structure of LaPmSm4Er2. Source: the Alexandria database, functional GGA-PBE.

a = 7.2317 Å, b = 7.2406 Å, c = 10.2340 Å
α = 89.98°, β = 89.93°, γ = 89.96°
Atoms (fractional coordinates):
La 0.0000 0.0000 0.0000
La 0.0000 0.5000 0.5000
Pm 0.0000 0.0000 0.5000
Pm 0.5000 0.0000 0.5000
Sm 0.2529 0.2523 0.2479
Sm 0.2532 0.2517 0.7524
Sm 0.2530 0.7482 0.2475
Sm 0.2529 0.7482 0.7526
Sm 0.7471 0.2518 0.2474
Sm 0.7470 0.2518 0.7525
Sm 0.7468 0.7483 0.2476
Sm 0.7471 0.7477 0.7521
Er 0.0000 0.5000 0.0000
Er 0.5000 0.0000 0.0000
Er 0.5000 0.5000 0.0000
Er 0.5000 0.5000 0.5000

Computed properties:
Its total magnetization is 0.001 Bohr magnetons per cell. The formation energy comes out at 0.02 eV per atom.

A relaxed structure of Pm3Sm4Te8. Source: the Alexandria database, functional GGA-PBE.

a = 8.8751 Å, b = 8.8751 Å, c = 8.8739 Å
α = 119.99°, β = 119.99°, γ = 90.01°
Atoms (fractional coordinates):
Pm 0.0000 0.0000 0.0000
Pm 0.0000 0.5000 0.0000
Pm 0.5000 0.0000 0.0000
Sm 0.0000 0.5000 0.5000
Sm 0.5000 0.0000 0.5000
Sm 0.5000 0.5000 0.0000
Sm 0.5000 0.5000 0.5000
Te 0.2452 0.2452 0.5011
Te 0.2454 0.2454 0.9896
Te 0.2448 0.7552 0.5000
Te 0.2506 0.7494 0.0000
Te 0.7494 0.2506 0.0000
Te 0.7552 0.2448 0.5000
Te 0.7546 0.7546 0.0104
Te 0.7548 0.7548 0.4989

Computed properties:
Its total magnetization is 0.000 Bohr magnetons per cell. The calculation puts the formation energy from raw total energies at -1.4424 eV/atom.

A relaxed structure of Hf2Zr3Al. Source: the Alexandria database, functional GGA-PBE.

a = 5.0561 Å, b = 9.3659 Å, c = 5.5373 Å
α = 90.00°, β = 90.00°, γ = 90.00°
Atoms (fractional coordinates):
Hf 0.0000 0.0873 0.0000
Hf 0.0000 0.9127 0.5000
Hf 0.5000 0.2641 0.8547
Hf 0.5000 0.7359 0.3547
Zr 0.0000 0.2479 0.5045
Zr 0.0000 0.4325 0.0622
Zr 0.0000 0.5675 0.5622
Zr 0.0000 0.7521 0.0045
Zr 0.5000 0.0853 0.3310
Zr 0.5000 0.9147 0.8310
Al 0.5000 0.4170 0.3702
Al 0.5000 0.5830 0.8702

Computed properties:
Its total magnetization is 0.000 Bohr magnetons per cell. The formation energy comes out at -0.12 eV per atom. The calculation puts the energy above the most stable polymorph in this dataset at 0.0 meV/atom.

A relaxed structure of LiLaPb2. Source: the Alexandria database, functional GGA-PBE.

a = 3.7853 Å, b = 4.5547 Å, c = 6.8267 Å
α = 90.00°, β = 90.00°, γ = 90.00°
Atoms (fractional coordinates):
Li 0.0000 0.0000 0.0000
La 0.5000 0.5000 0.6847
Pb 0.0000 0.0000 0.4443
Pb 0.5000 0.5000 0.1809

Computed properties:
Its total magnetization is 0.000 Bohr magnetons per cell. The formation energy comes out at -0.21 eV per atom.

A relaxed structure of AlSiSb2Te. Source: the Alexandria database, functional GGA-PBE.

a = 5.2304 Å, b = 5.2304 Å, c = 5.3022 Å
α = 90.00°, β = 90.00°, γ = 90.00°
Atoms (fractional coordinates):
Al 0.0000 0.0000 0.0000
Si 0.5000 0.5000 0.5000
Sb 0.0000 0.5000 0.5000
Sb 0.5000 0.0000 0.5000
Te 0.5000 0.5000 0.0000

Computed properties:
Its total magnetization is 0.000 Bohr magnetons per cell. The calculation puts the formation energy from raw total energies at 0.6245 eV/atom. The calculation puts the energy above the most stable polymorph in this dataset at 0.0 meV/atom.

A relaxed structure of Nd4SnAsSe2. Source: the Alexandria database, functional GGA-PBE.

a = 7.4861 Å, b = 4.3321 Å, c = 7.5175 Å
α = 90.00°, β = 109.50°, γ = 90.00°
Atoms (fractional coordinates):
Nd 0.2445 0.0000 0.2418
Nd 0.2516 0.5000 0.7574
Nd 0.7484 0.5000 0.2426
Nd 0.7555 0.0000 0.7582
Sn 0.0000 0.0000 0.5000
As 0.0000 0.5000 0.0000
Se 0.5000 0.0000 0.0000
Se 0.5000 0.5000 0.5000

Computed properties:
Its total magnetization is 0.000 Bohr magnetons per cell. The calculation puts the formation energy from raw total energies at -1.5020 eV/atom.

A relaxed structure of BaAlOs2. Source: the Alexandria database, functional GGA-PBE.

a = 6.0899 Å, b = 9.3375 Å, c = 2.9856 Å
α = 90.00°, β = 117.36°, γ = 90.00°
Atoms (fractional coordinates):
Ba 0.0000 0.0000 0.0000
Ba 0.5000 0.5000 0.0000
Al 0.0000 0.5000 0.0000
Al 0.5000 0.0000 0.0000
Os 0.2500 0.2500 0.5000
Os 0.2500 0.7500 0.5000
Os 0.7500 0.2500 0.5000
Os 0.7500 0.7500 0.5000

Computed properties:
Its total magnetization is 0.000 Bohr magnetons per cell. The formation energy comes out at 1.14 eV per atom.

A relaxed structure of TlC2. Source: the Alexandria database, functional GGA-PBE.

a = 7.2529 Å, b = 7.2529 Å, c = 5.6019 Å
α = 90.00°, β = 90.00°, γ = 120.00°
Atoms (fractional coordinates):
Tl 0.0000 0.0000 0.0000
Tl 0.3333 0.6667 0.5000
Tl 0.6667 0.3333 0.5000
C 0.0000 0.1917 0.5000
C 0.0000 0.8083 0.5000
C 0.1917 0.0000 0.5000
C 0.1917 0.1917 0.5000
C 0.8083 0.0000 0.5000
C 0.8083 0.8083 0.5000

Computed properties:
Its total magnetization is 0.000 Bohr magnetons per cell. The formation energy comes out at 1.21 eV per atom. The calculation puts the energy above the most stable polymorph in this dataset at 306.6 meV/atom.

A relaxed structure of AlSnGeSb2. Source: the Alexandria database, functional GGA-PBE.

a = 5.4225 Å, b = 5.4225 Å, c = 5.2662 Å
α = 90.00°, β = 90.00°, γ = 90.00°
Atoms (fractional coordinates):
Al 0.0000 0.0000 0.0000
Sn 0.5000 0.5000 0.0000
Ge 0.5000 0.5000 0.5000
Sb 0.0000 0.5000 0.5000
Sb 0.5000 0.0000 0.5000

Computed properties:
Its total magnetization is 0.000 Bohr magnetons per cell. The calculation puts the formation energy from raw total energies at 0.6883 eV/atom.

A relaxed structure of BeW2I. Source: the Alexandria database, functional GGA-PBE.

a = 4.0398 Å, b = 4.0398 Å, c = 18.0601 Å
α = 90.00°, β = 90.00°, γ = 90.00°
Atoms (fractional coordinates):
Be 0.0000 0.0000 0.0000
Be 0.0000 0.5000 0.2500
Be 0.5000 0.0000 0.7500
Be 0.5000 0.5000 0.5000
W 0.1892 0.2500 0.1250
W 0.2500 0.6892 0.3750
W 0.2500 0.8108 0.8750
W 0.3108 0.2500 0.6250
W 0.6892 0.7500 0.6250
W 0.7500 0.1892 0.8750
W 0.7500 0.3108 0.3750
W 0.8108 0.7500 0.1250
I 0.0000 0.0000 0.5000
I 0.0000 0.5000 0.7500
I 0.5000 0.0000 0.2500
I 0.5000 0.5000 0.0000

Computed properties:
Its total magnetization is 0.000 Bohr magnetons per cell. The calculation puts the formation energy from raw total energies at 1.2092 eV/atom. The calculation puts the energy above the most stable polymorph in this dataset at 0.0 meV/atom.

A relaxed structure of Si3AgPb4Au12. Source: the Alexandria database, functional GGA-PBE.

a = 8.4920 Å, b = 8.4920 Å, c = 8.4920 Å
α = 109.47°, β = 109.47°, γ = 109.47°
Atoms (fractional coordinates):
Si 0.0000 0.5000 0.5000
Si 0.5000 0.0000 0.5000
Si 0.5000 0.5000 0.0000
Ag 0.0000 0.0000 0.0000
Pb 0.0000 0.0000 0.5000
Pb 0.0000 0.5000 0.0000
Pb 0.5000 0.0000 0.0000
Pb 0.5000 0.5000 0.5000
Au 0.0000 0.2624 0.2624
Au 0.0000 0.7376 0.7376
Au 0.2500 0.5000 0.7500
Au 0.2500 0.7500 0.5000
Au 0.2624 0.0000 0.2624
Au 0.2624 0.2624 0.0000
Au 0.5000 0.2500 0.7500
Au 0.5000 0.7500 0.2500
Au 0.7376 0.0000 0.7376
Au 0.7376 0.7376 0.0000
Au 0.7500 0.2500 0.5000
Au 0.7500 0.5000 0.2500

Computed properties:
Its total magnetization is 0.000 Bohr magnetons per cell. The calculation puts the formation energy from raw total energies at 0.1300 eV/atom.

A relaxed structure of Tb5AsP4. Source: the Alexandria database, functional GGA-PBE.

a = 10.7167 Å, b = 10.7167 Å, c = 10.7167 Å
α = 158.21°, β = 149.01°, γ = 38.21°
Atoms (fractional coordinates):
Tb 0.0000 0.0000 0.0000
Tb 0.1996 0.1996 0.0000
Tb 0.3970 0.3970 0.0000
Tb 0.6030 0.6030 0.0000
Tb 0.8004 0.8004 0.0000
As 0.5000 0.0000 0.5000
P 0.1002 0.6002 0.5000
P 0.2989 0.7989 0.5000
P 0.7011 0.2011 0.5000
P 0.8998 0.3998 0.5000

Computed properties:
Its total magnetization is 0.000 Bohr magnetons per cell. The formation energy comes out at -1.60 eV per atom.

A relaxed structure of CeNd2Br. Source: the Alexandria database, functional GGA-PBE.

a = 3.5778 Å, b = 3.5778 Å, c = 9.6682 Å
α = 90.00°, β = 90.00°, γ = 90.00°
Atoms (fractional coordinates):
Ce 0.0000 0.0000 0.0000
Nd 0.5000 0.5000 0.2606
Nd 0.5000 0.5000 0.7394
Br 0.0000 0.0000 0.5000

Computed properties:
Its total magnetization is 0.871 Bohr magnetons per cell. The calculation puts the formation energy from raw total energies at -0.4229 eV/atom. The calculation puts the energy above the most stable polymorph in this dataset at 91.8 meV/atom.

A relaxed structure of ZrNbW2. Source: the Alexandria database, functional GGA-PBE.

a = 6.5917 Å, b = 6.5917 Å, c = 6.5917 Å
α = 90.00°, β = 90.00°, γ = 90.00°
Atoms (fractional coordinates):
Zr 0.0000 0.0000 0.0000
Zr 0.0000 0.5000 0.5000
Zr 0.5000 0.0000 0.5000
Zr 0.5000 0.5000 0.0000
Nb 0.0000 0.0000 0.5000
Nb 0.0000 0.5000 0.0000
Nb 0.5000 0.0000 0.0000
Nb 0.5000 0.5000 0.5000
W 0.2500 0.2500 0.2500
W 0.2500 0.2500 0.7500
W 0.2500 0.7500 0.2500
W 0.2500 0.7500 0.7500
W 0.7500 0.2500 0.2500
W 0.7500 0.2500 0.7500
W 0.7500 0.7500 0.2500
W 0.7500 0.7500 0.7500

Computed properties:
Its total magnetization is 0.000 Bohr magnetons per cell. The formation energy comes out at 0.11 eV per atom. The calculation puts the energy above the most stable polymorph in this dataset at 0.0 meV/atom.